LiLuMg: relaxed, PBE.

The calculation puts the calculated formation energy at 0.0519 eV per atom. Its mass density is 4.81 g/cm3. The relative energy among the computed polymorphs comes out at 0.00 kcal/mol of atoms. The calculation puts the total magnetic moment at 0.000 μB/cell. For the total DFT energy (no corrections), the calculation gives -7.87 eV for the cell shown. Its space group is No. 107.

```
LiLuMg
1.0
-2.641 -2.294 -0.144
1.799 -1.927 -2.304
2.796 -0.898 5.595
Lu Mg Li
1 1 1
direct
0.003 0.003 0.005
0.314 0.314 0.627
0.684 0.684 0.368
```